Arrangement 1

Material: BaSrZr2
Method: DFT, PBE-GGA
State: relaxed

DOS(E_F): 2.03 states/eV per atom

abc: 5.949 5.949 5.949
angles: 126.97 126.97 78.30
Positions (direct):
Ba: 0.000 0.000 0.000
Sr: 0.250 0.750 0.500
Zr: 0.500 0.500 0.000
Zr: 0.750 0.250 0.500

=====

Arrangement 2

Material: BaSrZr2
Method: DFT, PBE-GGA
State: relaxed

DOS(E_F): 1.49 states/eV per atom

abc: 3.322 6.114 6.934
angles: 90.00 103.12 90.00
Positions (direct):
Ba: 0.000 0.000 0.000
Sr: 0.500 0.000 0.500
Zr: 0.320 0.500 0.691
Zr: 0.680 0.500 0.309

=====

The structure with the greatest stability is arrangement 2.

=====

Arrangement 1

Material: BaSrZr2
Method: DFT, PBE-GGA
State: relaxed

DOS(E_F): 1.81 states/eV per atom

abc: 5.727 5.727 5.727
angles: 60.00 60.00 60.00
Positions (direct):
Ba: 0.000 0.000 0.000
Sr: 0.500 0.500 0.500
Zr: 0.250 0.250 0.250
Zr: 0.750 0.750 0.750

=====

Arrangement 2

Material: BaSrZr2
Method: DFT, PBE-GGA
State: relaxed

DOS(E_F): 1.91 states/eV per atom

abc: 4.335 4.335 7.828
angles: 90.00 90.00 90.00
Positions (direct):
Ba: 0.000 0.000 0.000
Sr: 0.000 0.000 0.500
Zr: 0.500 0.500 0.325
Zr: 0.500 0.500 0.675

=====

Arrangement 3

Material: BaSrZr2
Method: DFT, PBE-GGA
State: relaxed

DOS(E_F): 1.66 states/eV per atom

abc: 3.382 3.382 12.073
angles: 90.00 90.00 106.50
Positions (direct):
Ba: 0.000 0.000 0.000
Sr: 0.000 0.000 0.500
Zr: 0.500 0.500 0.254
Zr: 0.500 0.500 0.746

=====

The structure with the greatest stability is arrangement 3.

=====

Arrangement 1

Material: BaSr2Zr
Method: DFT, PBE-GGA
State: relaxed

DOS(E_F): 1.53 states/eV per atom

abc: 7.645 7.645 7.645
angles: 149.61 129.13 60.42
Positions (direct):
Ba: 0.000 0.000 0.000
Sr: 0.281 0.781 0.500
Sr: 0.560 0.560 0.000
Zr: 0.779 0.279 0.500

=====

Arrangement 2

Material: BaSr2Zr
Method: DFT, PBE-GGA
State: relaxed

DOS(E_F): 2.43 states/eV per atom

abc: 6.239 6.239 6.239
angles: 60.00 60.00 60.00
Positions (direct):
Ba: 0.000 0.000 0.000
Sr: 0.500 0.500 0.500
Sr: 0.750 0.750 0.750
Zr: 0.250 0.250 0.250

=====

Arrangement 3

Material: BaSr2Zr
Method: DFT, PBE-GGA
State: relaxed

DOS(E_F): 1.40 states/eV per atom

abc: 3.865 3.865 11.507
angles: 90.00 90.00 90.00
Positions (direct):
Ba: 0.000 0.000 0.000
Sr: 0.000 0.000 0.580
Sr: 0.500 0.500 0.296
Zr: 0.500 0.500 0.786

=====

The structure with the greatest stability is arrangement 3.